The following is a DFT calculation (GGA-PBE) of K2SrRe after structural relaxation.

Results
Calculated formation energy = 1.2376 eV/atom
Space-group type = Cm
Total moment = 1.92 μB/cell
Final energy = -22.749 eV for the cell shown

POSCAR file:
```
K2SrRe
1.0
10.378 0.000 0.000
0.000 3.075 0.000
-0.442 0.000 9.466
K Sr Re
4 2 2
Cartesian
0.000 0.000 0.000
2.164 0.000 5.984
5.189 1.538 0.000
7.352 1.538 5.984
2.633 1.538 2.545
7.822 0.000 2.545
4.997 0.000 3.641
10.186 1.538 3.641
```